(1)
Density functional theory data (PBE) for a relaxed TcPW2 crystal.

Cell: 8.4243 8.4243 8.4243 Å, 19.75 19.75 19.75°
Last column: nearest neighbours and their distance in Å.
Fractional positions:
Tc 0.0000 0.0000 0.0000  6 W 2.77, 6 Tc 2.89
P 0.5000 0.5000 0.5000  6 W 2.54
W 0.2440 0.2440 0.2440  3 P 2.54, 3 Tc 2.77
W 0.7560 0.7560 0.7560  3 P 2.54, 3 Tc 2.77

Output
The crystal system is trigonal. The calculation puts the total DFT energy (no corrections) at -40.962 eV per cell.

---

(2)
Density functional theory data (PBE) for a relaxed Ho4CoPb2 crystal.

Cell: 8.9323 8.9323 8.9323 Å, 148.12 148.12 45.70°
Last column: nearest neighbours and their distance in Å.
Fractional positions:
Ho 0.0000 0.5000 0.5000  2 Co 2.45
Ho 0.1708 0.1708 0.0000  1 Co 2.81, 1 Pb 3.11
Ho 0.5000 0.0000 0.5000  2 Co 2.45
Ho 0.8292 0.8292 0.0000  1 Co 2.81, 1 Pb 3.11
Co 0.0000 0.0000 0.0000  4 Ho 2.45
Pb 0.3598 0.3598 0.0000  5 Ho 3.11-3.37
Pb 0.6402 0.6402 0.0000  5 Ho 3.11-3.37

Output
The crystal system is tetragonal. The calculation puts the total DFT energy (no corrections) at -35.008 eV per cell.

---

(3)
Density functional theory data (PBE) for a relaxed AcCdInAu3 crystal.

Cell: 7.2869 7.2869 7.1806 Å, 90.00 90.00 125.91°
Last column: nearest neighbours and their distance in Å.
Fractional positions:
Ac 0.1808 0.8192 0.7500  6 Au 3.28-3.33, 1 Cd 3.29, 2 In 3.64
Ac 0.8192 0.1808 0.2500  6 Au 3.28-3.33, 1 Cd 3.29, 2 In 3.64
Cd 0.4341 0.5659 0.7500  5 Au 2.74-2.88
Cd 0.5659 0.4341 0.2500  5 Au 2.74-2.88
In 0.1349 0.8651 0.2500  5 Au 2.72-2.88
In 0.8651 0.1349 0.7500  5 Au 2.72-2.88
Au 0.2150 0.2150 0.0000  2 Cd 2.74, 1 Au 2.85, 2 In 2.88
Au 0.2150 0.2150 0.5000  2 Cd 2.74, 1 Au 2.85, 2 In 2.88
Au 0.3443 0.6557 0.2500  1 In 2.72, 1 Cd 2.88
Au 0.6557 0.3443 0.7500  1 In 2.72, 1 Cd 2.88
Au 0.7850 0.7850 0.0000  2 Cd 2.74, 1 Au 2.85, 2 In 2.88
Au 0.7850 0.7850 0.5000  2 Cd 2.74, 1 Au 2.85, 2 In 2.88

Output
The crystal system is orthorhombic. The calculation puts the total DFT energy (no corrections) at -39.095 eV per cell.

---

(4)
Density functional theory data (PBE) for a relaxed NiAuN3 crystal.

Cell: 4.0014 4.0014 4.0014 Å, 90.00 90.00 90.00°
Last column: nearest neighbours and their distance in Å.
Fractional positions:
Ni 0.0000 0.0000 0.0000  12 N 2.83
Au 0.5000 0.5000 0.5000  6 N 2.00
N 0.0000 0.5000 0.5000  2 Au 2.00
N 0.5000 0.0000 0.5000  2 Au 2.00
N 0.5000 0.5000 0.0000  2 Au 2.00

Output
The crystal system is cubic. The calculation puts the total DFT energy (no corrections) at -20.073 eV per cell.

---

(5)
Density functional theory data (PBE) for a relaxed LaZrFe3 crystal.

Cell: 4.4871 4.4871 4.4871 Å, 90.00 90.00 90.00°
Last column: nearest neighbours and their distance in Å.
Fractional positions:
La 0.0000 0.0000 0.0000  6 Fe 2.24
Zr 0.5000 0.5000 0.5000  12 Fe 3.17
Fe 0.0000 0.0000 0.5000  2 La 2.24
Fe 0.0000 0.5000 0.0000  2 La 2.24
Fe 0.5000 0.0000 0.0000  2 La 2.24

Output
The crystal system is cubic. The polymorph energy (0 for the lowest one) comes out at 0.504 eV/atom.

---

(6)
Density functional theory data (PBE) for a relaxed LiPm2Co crystal.

Cell: 3.4612 3.4612 8.1990 Å, 90.00 90.00 90.00°
Last column: nearest neighbours and their distance in Å.
Fractional positions:
Li 0.0000 0.0000 0.0000  8 Pm 3.45, 4 Li 3.46
Pm 0.5000 0.5000 0.2971  4 Co 2.96
Pm 0.5000 0.5000 0.7029  4 Co 2.96
Co 0.0000 0.0000 0.5000  8 Pm 2.96

Output
The crystal system is tetragonal. The polymorph energy (0 for the lowest one) comes out at 0.057 eV/atom.